Entry 1:
Compound: SnHgPd2
Source: Alexandria
Functional: PBEsol
Structure: relaxed

Calculated values
Calculated formation energy: -0.36 eV/atom
Fermi-level density of states: 1.20 states/eV per cell

a b c (Å): 4.616 4.616 4.616
angles (deg): 60.00 60.00 60.00
Element x y z (fractional)
Pd  0.250  0.250  0.250
Pd  0.750  0.750  0.750
Sn  0.000  0.000  0.000
Hg  0.500  0.500  0.500



Entry 2:
Compound: SrZr2Ni
Source: Alexandria
Functional: PBEsol
Structure: relaxed

Calculated values
Calculated formation energy: 0.19 eV/atom
Fermi-level density of states: 6.57 states/eV per cell

a b c (Å): 3.251 3.251 8.856
angles (deg): 90.00 90.00 90.00
Element x y z (fractional)
Zr  0.000  0.000  0.836
Zr  0.000  0.000  0.164
Ni  0.500  0.500  0.000
Sr  0.500  0.500  0.500



Entry 3:
Compound: CaFe2P
Source: Alexandria
Functional: PBEsol
Structure: relaxed

Calculated values
Calculated formation energy: 0.18 eV/atom
Fermi-level density of states: 1.15 states/eV per cell

a b c (Å): 4.329 4.329 4.329
angles (deg): 60.00 60.00 60.00
Element x y z (fractional)
Ca  0.500  0.500  0.500
P  0.250  0.250  0.250
Fe  0.750  0.750  0.750
Fe  0.000  0.000  0.000



Entry 4:
Compound: AlInIr2
Source: Alexandria
Functional: PBEsol
Structure: relaxed

Calculated values
Calculated formation energy: -0.50 eV/atom
Fermi-level density of states: 1.40 states/eV per cell

a b c (Å): 2.986 2.986 6.708
angles (deg): 90.00 90.00 90.00
Element x y z (fractional)
Al  0.500  0.500  0.000
Ir  0.000  0.000  0.222
Ir  0.000  0.000  0.778
In  0.500  0.500  0.500



Entry 5:
Compound: CaSiNi2
Source: Alexandria
Functional: PBEsol
Structure: relaxed

Calculated values
Fermi-level density of states: 4.92 states/eV per cell
ΔE_f (raw): -0.5641 eV per atom

a b c (Å): 3.940 3.940 9.756
angles (deg): 90.00 90.00 120.00
Element x y z (fractional)
Ca  0.333  0.667  0.750
Ca  0.667  0.333  0.250
Ni  0.333  0.667  0.459
Ni  0.667  0.333  0.959
Ni  0.333  0.667  0.041
Ni  0.667  0.333  0.541
Si  0.000  0.000  0.000
Si  0.000  0.000  0.500



Entry 6:
Compound: Fe3Ir
Source: Alexandria
Functional: PBEsol
Structure: relaxed

Calculated values
Calculated formation energy: -0.02 eV/atom
Fermi-level density of states: 9.45 states/eV per cell

a b c (Å): 4.017 5.022 5.078
angles (deg): 60.36 90.00 90.00
Element x y z (fractional)
Ir  0.750  0.410  0.179
Ir  0.250  0.590  0.821
Fe  0.250  0.081  0.839
Fe  0.750  0.928  0.662
Fe  0.250  0.072  0.338
Fe  0.250  0.589  0.338
Fe  0.750  0.411  0.662
Fe  0.750  0.919  0.161



Number 1: M_tot 0.0 μB/f.u.. Number 2: M_tot 0.0 μB/f.u.. Number 3: M_tot 4.9 μB/f.u.. Number 4: M_tot 0.0 μB/f.u.. Number 5: M_tot 0.0 μB/f.u.. Number 6: M_tot 0.1 μB/f.u..